First-principles (PBE) data for a relaxed RbTeH3 crystal, as listed in the Alexandria database.

abc: 4.436 4.436 4.436
angles: 90.00 90.00 90.00
Sites, in units of the cell vectors:
Rb (0.000, 0.000, 0.000)
Te (0.500, 0.500, 0.500)
H (0.000, 0.500, 0.500)
H (0.500, 0.000, 0.500)
H (0.500, 0.500, 0.000)

total magnetic moment: 0.000 μB/f.u.
final energy: -13.2 eV for the cell shown
SG: No. 221
energy above the lowest structure with this stoichiometry: 517.4 meV/atom
crystal system: cubic